A relaxed structure of HfTc3Ir, computed with PBE.

Properties
- Crystal system: cubic
- Energy of formation from the pure elements: 1.311 eV per atom
- Energy: -8.672 eV/atom

Structure (CIF):
```
data_HfTc3Ir
_cell_length_a 4.669
_cell_length_b 4.669
_cell_length_c 4.669
_cell_angle_alpha 90.00
_cell_angle_beta 90.00
_cell_angle_gamma 90.00
_space_group_name_H-M_alt 'P m -3 m'
_space_group_IT_number 221
_space_group_name_Hall '-P 4 2 3'
loop_
_atom_site_label
_atom_site_type_symbol
_atom_site_fract_x
_atom_site_fract_y
_atom_site_fract_z
Hf1 Hf 0.000 0.000 0.000
Tc1 Tc 0.000 0.500 0.500
Ir1 Ir 0.500 0.500 0.500
```

A relaxed structure of HoGaGeIr2, computed with PBE.

Properties
- Crystal system: orthorhombic
- Energy of formation from the pure elements: -0.502 eV per atom
- Energy: -6.490 eV/atom

Structure (CIF):
```
data_HoGaGeIr2
_cell_length_a 4.247
_cell_length_b 13.062
_cell_length_c 7.010
_cell_angle_alpha 90.00
_cell_angle_beta 90.00
_cell_angle_gamma 90.00
_space_group_name_H-M_alt 'C m c m'
_space_group_IT_number 63
_space_group_name_Hall '-C 2c 2'
loop_
_atom_site_label
_atom_site_type_symbol
_atom_site_fract_x
_atom_site_fract_y
_atom_site_fract_z
Ho1 Ho 0.000 0.122 0.250
Ga1 Ga 0.000 0.194 0.750
Ge1 Ge 0.000 0.500 0.000
Ir1 Ir 0.000 0.322 0.039
```

A relaxed structure of MgTa2Si, computed with PBE.

Properties
- Crystal system: orthorhombic
- Raw formation energy: 87 meV per atom
- Energy: -7.594 eV/atom

Structure (CIF):
```
data_MgTa2Si
_cell_length_a 2.883
_cell_length_b 4.079
_cell_length_c 5.755
_cell_angle_alpha 90.00
_cell_angle_beta 90.00
_cell_angle_gamma 90.00
_space_group_name_H-M_alt 'P m m m'
_space_group_IT_number 47
_space_group_name_Hall '-P 2 2'
loop_
_atom_site_label
_atom_site_type_symbol
_atom_site_fract_x
_atom_site_fract_y
_atom_site_fract_z
Mg1 Mg 0.000 0.000 0.000
Ta1 Ta 0.500 0.500 0.262
Si1 Si 0.000 0.000 0.500
```

A relaxed structure of ScBHS2, computed with PBE.

Properties
- Crystal system: tetragonal
- Energy: -4.573 eV/atom

Structure (CIF):
```
data_ScBHS2
_cell_length_a 3.989
_cell_length_b 3.989
_cell_length_c 4.652
_cell_angle_alpha 90.00
_cell_angle_beta 90.00
_cell_angle_gamma 90.00
_space_group_name_H-M_alt 'P 4/m m m'
_space_group_IT_number 123
_space_group_name_Hall '-P 4 2'
loop_
_atom_site_label
_atom_site_type_symbol
_atom_site_fract_x
_atom_site_fract_y
_atom_site_fract_z
Sc1 Sc 0.000 0.000 0.000
B1 B 0.000 0.000 0.500
H1 H 0.500 0.500 0.000
S1 S 0.000 0.500 0.500
```

Copy entry 1 word for word.
A relaxed structure of HfTc3Ir, computed with PBE.

Properties
- Crystal system: cubic
- Energy of formation from the pure elements: 1.311 eV per atom
- Energy: -8.672 eV/atom

Structure (CIF):
```
data_HfTc3Ir
_cell_length_a 4.669
_cell_length_b 4.669
_cell_length_c 4.669
_cell_angle_alpha 90.00
_cell_angle_beta 90.00
_cell_angle_gamma 90.00
_space_group_name_H-M_alt 'P m -3 m'
_space_group_IT_number 221
_space_group_name_Hall '-P 4 2 3'
loop_
_atom_site_label
_atom_site_type_symbol
_atom_site_fract_x
_atom_site_fract_y
_atom_site_fract_z
Hf1 Hf 0.000 0.000 0.000
Tc1 Tc 0.000 0.500 0.500
Ir1 Ir 0.500 0.500 0.500
```